No. 1
Entry from Alexandria via LeMat-Bulk: a relaxed structure of NiPdSeN2 (PBEsol).

Properties
- Total DFT energy (no corrections): -25.6 eV per formula unit
- Raw formation energy: 1.477 eV per atom
- Spin magnetization: 0.45 Bohr magnetons per cell
- Density of states at the Fermi level: 5.9 states/eV/cell

a = 3.673 Å, b = 3.673 Å, c = 5.599 Å
α = 90.00°, β = 90.00°, γ = 90.00°
Space group P4/mmm (No. 123)
Unique sites:
Ni 0.000 0.000 0.000
Pd 0.500 0.500 0.500
Se 0.500 0.500 0.000
N 0.000 0.500 0.500

---

No. 2
Entry from Alexandria via LeMat-Bulk: a relaxed structure of ZrAlNi (PBEsol).

Properties
- Total DFT energy (no corrections): -21.3 eV per formula unit
- Spin magnetization: 0.00 Bohr magnetons per cell
- Formation energy: -64 kJ/mol of atoms
- Density of states at the Fermi level: 4.8 states/eV/cell

a = 6.7981 Å, b = 6.7981 Å, c = 3.4996 Å
α = 90.00°, β = 90.00°, γ = 120.00°
Space group P-62m (No. 189)
Unique sites:
Zr 0.0000 0.5900 0.0000
Al 0.0000 0.2486 0.5000
Ni 0.0000 0.0000 0.0000
Ni 0.3333 0.6667 0.5000

---

No. 3
Entry from Alexandria via LeMat-Bulk: a relaxed structure of BeSb2TeH (PBEsol).

Properties
- Total DFT energy (no corrections): -16.4 eV per formula unit
- Spin magnetization: 0.00 Bohr magnetons per cell
- Density of states at the Fermi level: 2.4 states/eV/cell

a = 4.275 Å, b = 4.275 Å, c = 5.457 Å
α = 90.00°, β = 90.00°, γ = 90.00°
Space group P4/mmm (No. 123)
Unique sites:
Be 0.000 0.000 0.000
Sb 0.000 0.500 0.500
Te 0.500 0.500 0.000
H 0.500 0.500 0.500